# LaBe2Mo2

LaBe2Mo2 after structural relaxation (PBE, Alexandria via LeMat-Bulk).

energy	-6.44	eV per atom
energy of formation	0.36	eV/atom

Structure (CIF):
```
data_LaBe2Mo2
_cell_length_a 4.4136
_cell_length_b 4.4136
_cell_length_c 8.8479
_cell_angle_alpha 90.00
_cell_angle_beta 90.00
_cell_angle_gamma 90.00
_space_group_name_H-M_alt 'I 4/m m m'
_space_group_IT_number 139
_space_group_name_Hall '-I 4 2'
loop_
_atom_site_label
_atom_site_type_symbol
_atom_site_fract_x
_atom_site_fract_y
_atom_site_fract_z
La1 La 0.0000 0.0000 0.0000
Be1 Be 0.0000 0.5000 0.2500
Mo1 Mo 0.0000 0.0000 0.3571
```